(1)
First-principles (GGA-PBE) data for a geometry-optimized K4HgAu3 structure, as listed in Alexandria.

Calculated formation energy   -2.5 eV per formula unit

a = 4.6421 Å, b = 4.8741 Å, c = 12.2752 Å
α = 90.00°, β = 90.00°, γ = 90.00°
Sites, in units of the cell vectors:
1 K 0.5000 0.5000 0.3703
2 K 0.0000 0.5000 0.8444
3 K 0.0000 0.0000 0.1500
4 K 0.5000 0.0000 0.6366
5 Hg 0.5000 0.5000 0.0665
6 Au 0.0000 0.5000 0.5689
7 Au 0.0000 0.0000 0.4305
8 Au 0.5000 0.0000 0.9328


(2)
First-principles (GGA-PBE) data for a geometry-optimized K5HgAu structure, as listed in Alexandria.

Calculated formation energy   -1.0 eV per formula unit

a = 7.7433 Å, b = 7.7433 Å, c = 11.6171 Å
α = 94.11°, β = 94.11°, γ = 92.88°
Sites, in units of the cell vectors:
1 K 0.3773 0.2323 0.9888
2 K 0.3598 0.9222 0.6488
3 K 0.2323 0.3773 0.4888
4 K 0.8530 0.1470 0.7500
5 K 0.0778 0.6402 0.8512
6 K 0.9222 0.3598 0.1488
7 K 0.1470 0.8530 0.2500
8 K 0.7677 0.6227 0.5112
9 K 0.6402 0.0778 0.3512
10 K 0.6227 0.7677 0.0112
11 Hg 0.5183 0.4817 0.7500
12 Hg 0.4817 0.5183 0.2500
13 Au 0.0000 0.0000 0.0000
14 Au 0.0000 0.0000 0.5000


(3)
First-principles (GGA-PBE) data for a geometry-optimized K3HgAu structure, as listed in Alexandria.

Offset from the most stable computed form   0.0 meV/atom
Calculated formation energy   -1.2 eV per formula unit

a = 5.2155 Å, b = 7.4903 Å, c = 10.1227 Å
α = 90.00°, β = 90.00°, γ = 90.00°
Sites, in units of the cell vectors:
1 K 0.2500 0.7691 0.5463
2 K 0.2500 0.2468 0.7500
3 K 0.2500 0.7692 0.9537
4 K 0.7500 0.2309 0.4537
5 K 0.7500 0.2308 0.0463
6 K 0.7500 0.7532 0.2500
7 Hg 0.7500 0.5679 0.7501
8 Hg 0.2500 0.4321 0.2499
9 Au 0.2500 0.0493 0.2500
10 Au 0.7500 0.9507 0.7500


(4)
First-principles (GGA-PBE) data for a geometry-optimized K2Hg5Au4 structure, as listed in Alexandria.

Offset from the most stable computed form   0.0 meV/atom
Calculated formation energy   -1.6 eV per formula unit

a = 6.4602 Å, b = 6.2885 Å, c = 9.3121 Å
α = 79.74°, β = 69.70°, γ = 59.09°
Sites, in units of the cell vectors:
1 K 0.8542 0.0000 0.2916
2 K 0.1458 0.0000 0.7084
3 Hg 0.5000 0.0000 0.0000
4 Hg 0.0000 0.5000 0.0000
5 Hg 0.5000 0.5000 0.0000
6 Hg 0.2500 0.5000 0.5000
7 Hg 0.7500 0.5000 0.5000
8 Au 0.4987 0.2737 0.7288
9 Au 0.5013 0.7263 0.2712
10 Au 0.2275 0.2737 0.2712
11 Au 0.7725 0.7263 0.7288


(5)
First-principles (GGA-PBE) data for a geometry-optimized K3Hg4Au2 structure, as listed in Alexandria.

Calculated formation energy   -2.4 eV per formula unit

a = 5.2374 Å, b = 6.4374 Å, c = 9.7474 Å
α = 112.08°, β = 90.00°, γ = 114.00°
Sites, in units of the cell vectors:
1 K 0.6452 0.2904 0.6754
2 K 0.0000 0.0000 0.0000
3 K 0.3548 0.7096 0.3246
4 Hg 0.7214 0.4427 0.0663
5 Hg 0.2786 0.5573 0.9337
6 Hg 0.9058 0.8117 0.5857
7 Hg 0.0942 0.1883 0.4143
8 Au 0.6427 0.2855 0.3097
9 Au 0.3573 0.7145 0.6903


(6)
First-principles (GGA-PBE) data for a geometry-optimized K11Hg9Au4 structure, as listed in Alexandria.

Calculated formation energy   -6.3 eV per formula unit

a = 4.3476 Å, b = 14.4469 Å, c = 14.4469 Å
α = 112.29°, β = 90.00°, γ = 90.00°
Sites, in units of the cell vectors:
1 K 0.0000 0.5913 0.9393
2 K 0.0000 0.4087 0.0607
3 K 0.0000 0.9393 0.5913
4 K 0.0000 0.0607 0.4087
5 K 0.0000 0.6250 0.3750
6 K 0.0000 0.3750 0.6250
7 K 0.0000 0.8314 0.1686
8 K 0.0000 0.1686 0.8314
9 K 0.0000 0.0000 0.0000
10 K 0.0000 0.6883 0.6883
11 K 0.0000 0.3117 0.3117
12 Hg 0.5000 0.6274 0.1734
13 Hg 0.5000 0.3726 0.8266
14 Hg 0.5000 0.1734 0.6274
15 Hg 0.5000 0.8266 0.3726
16 Hg 0.5000 0.7761 0.9084
17 Hg 0.5000 0.2239 0.0916
18 Hg 0.5000 0.9084 0.7761
19 Hg 0.5000 0.0916 0.2239
20 Hg 0.5000 0.5000 0.5000
21 Au 0.5000 0.5531 0.7618
22 Au 0.5000 0.4469 0.2382
23 Au 0.5000 0.7618 0.5531
24 Au 0.5000 0.2382 0.4469


(7)
First-principles (GGA-PBE) data for a geometry-optimized KHg6Au2 structure, as listed in Alexandria.

Offset from the most stable computed form   38.6 meV/atom
Calculated formation energy   -0.5 eV per formula unit

a = 4.7642 Å, b = 7.8254 Å, c = 7.8254 Å
α = 68.21°, β = 106.18°, γ = 106.18°
Sites, in units of the cell vectors:
1 K 0.0000 0.0000 0.0000
2 Hg 0.1794 0.8671 0.4860
3 Hg 0.8206 0.1329 0.5140
4 Hg 0.8206 0.5140 0.1329
5 Hg 0.5000 0.3076 0.6924
6 Hg 0.5000 0.6924 0.3076
7 Hg 0.1794 0.4860 0.8671
8 Au 0.2853 0.2865 0.2865
9 Au 0.7147 0.7135 0.7135


(8)
First-principles (GGA-PBE) data for a geometry-optimized KHg7Au5 structure, as listed in Alexandria.

Calculated formation energy   -0.5 eV per formula unit

a = 5.6616 Å, b = 7.7955 Å, c = 7.7955 Å
α = 81.26°, β = 68.71°, γ = 68.71°
Sites, in units of the cell vectors:
1 K 0.9961 0.0039 0.0039
2 Hg 0.6398 0.3602 0.3602
3 Hg 0.3364 0.6636 0.6636
4 Hg 0.0002 0.3522 0.6474
5 Hg 0.0002 0.6474 0.3522
6 Hg 0.2793 0.2207 0.2207
7 Hg 0.5065 0.7880 0.1990
8 Hg 0.5065 0.1990 0.7880
9 Au 0.5087 0.9877 0.4970
10 Au 0.0067 0.9877 0.4970
11 Au 0.5087 0.4970 0.9877
12 Au 0.0067 0.4970 0.9877
13 Au 0.7043 0.7957 0.7957


(9)
First-principles (GGA-PBE) data for a geometry-optimized K3Hg4Au structure, as listed in Alexandria.

Calculated formation energy   -1.8 eV per formula unit

a = 5.0502 Å, b = 9.2846 Å, c = 8.4011 Å
α = 123.54°, β = 107.49°, γ = 90.00°
Sites, in units of the cell vectors:
1 K 0.8316 0.8316 0.6631
2 K 0.1684 0.1684 0.3369
3 K 0.0000 0.5000 0.0000
4 Au 0.5000 0.0000 0.0000
5 Hg 0.6187 0.8457 0.2374
6 Hg 0.3813 0.1543 0.7626
7 Hg 0.3813 0.6083 0.7626
8 Hg 0.6187 0.3917 0.2374


(10)
First-principles (GGA-PBE) data for a geometry-optimized K2Hg5Au2 structure, as listed in Alexandria.

Calculated formation energy   -1.2 eV per formula unit

a = 5.4635 Å, b = 5.4635 Å, c = 10.1171 Å
α = 90.00°, β = 90.00°, γ = 90.00°
Sites, in units of the cell vectors:
1 K 0.0000 0.0000 0.0000
2 K 0.0000 0.0000 0.5000
3 Hg 0.5000 0.0000 0.2251
4 Hg 0.5000 0.0000 0.7749
5 Hg 0.5000 0.5000 0.5000
6 Hg 0.0000 0.5000 0.2251
7 Hg 0.0000 0.5000 0.7749
8 Au 0.5000 0.5000 0.2200
9 Au 0.5000 0.5000 0.7800


(11)
First-principles (GGA-PBE) data for a geometry-optimized KHg2Au3 structure, as listed in Alexandria.

Calculated formation energy   -0.8 eV per formula unit

a = 6.0049 Å, b = 7.3330 Å, c = 7.3330 Å
α = 100.54°, β = 90.00°, γ = 90.00°
Sites, in units of the cell vectors:
1 K 0.2500 0.3067 0.3067
2 K 0.7500 0.6933 0.6933
3 Hg 0.5000 0.7864 0.2136
4 Hg 0.0000 0.7864 0.2136
5 Hg 0.0000 0.2136 0.7864
6 Hg 0.5000 0.2136 0.7864
7 Au 0.7500 0.4665 0.0707
8 Au 0.7500 0.0707 0.4665
9 Au 0.2500 0.5335 0.9293
10 Au 0.7500 0.0928 0.0928
11 Au 0.2500 0.9072 0.9072
12 Au 0.2500 0.9293 0.5335


(12)
First-principles (GGA-PBE) data for a geometry-optimized K2Hg4Au structure, as listed in Alexandria.

Offset from the most stable computed form   0.0 meV/atom
Calculated formation energy   -1.6 eV per formula unit

a = 7.0227 Å, b = 6.7352 Å, c = 9.3529 Å
α = 90.00°, β = 102.02°, γ = 90.00°
Sites, in units of the cell vectors:
1 K 0.2173 0.2500 0.0127
2 K 0.7827 0.7500 0.9873
3 K 0.1267 0.7500 0.3914
4 K 0.8733 0.2500 0.6086
5 Au 0.9258 0.2500 0.2499
6 Au 0.0742 0.7500 0.7501
7 Hg 0.6010 0.5106 0.2836
8 Hg 0.7015 0.2500 0.9533
9 Hg 0.2985 0.7500 0.0467
10 Hg 0.6010 0.9894 0.2836
11 Hg 0.6846 0.7500 0.5807
12 Hg 0.3990 0.0106 0.7163
13 Hg 0.3990 0.4894 0.7164
14 Hg 0.3154 0.2500 0.4193


(13)
First-principles (GGA-PBE) data for a geometry-optimized K5Hg2Au5 structure, as listed in Alexandria.

Calculated formation energy   -3.5 eV per formula unit

a = 4.6338 Å, b = 8.8112 Å, c = 10.2102 Å
α = 84.47°, β = 76.88°, γ = 74.75°
Sites, in units of the cell vectors:
1 K 0.0000 0.5000 0.5000
2 K 0.6907 0.7150 0.9036
3 K 0.3694 0.9418 0.3195
4 K 0.6306 0.0582 0.6805
5 K 0.3093 0.2850 0.0964
6 Hg 0.3916 0.4490 0.7677
7 Hg 0.6084 0.5510 0.2323
8 Au 0.6960 0.2412 0.3668
9 Au 0.9385 0.2753 0.8477
10 Au 0.0615 0.7247 0.1523
11 Au 0.3040 0.7588 0.6332
12 Au 0.0000 0.0000 0.0000


(14)
First-principles (GGA-PBE) data for a geometry-optimized K3Hg5Au6 structure, as listed in Alexandria.

Calculated formation energy   -2.9 eV per formula unit

a = 4.8799 Å, b = 10.7691 Å, c = 13.7878 Å
α = 90.00°, β = 90.00°, γ = 90.00°
Sites, in units of the cell vectors:
1 K 0.0000 0.2519 0.6813
2 K 0.5000 0.7481 0.1813
3 K 0.5000 0.7481 0.8187
4 K 0.0000 0.2456 0.0000
5 K 0.5000 0.7544 0.5000
6 K 0.0000 0.2519 0.3187
7 Hg 0.0000 0.5073 0.8498
8 Hg 0.0000 0.9085 0.6911
9 Hg 0.0000 0.7192 0.0000
10 Hg 0.5000 0.4927 0.6502
11 Hg 0.5000 0.2808 0.5000
12 Hg 0.0000 0.5073 0.1502
13 Hg 0.5000 0.4927 0.3498
14 Hg 0.0000 0.9085 0.3089
15 Hg 0.5000 0.0915 0.8089
16 Hg 0.5000 0.0915 0.1911
17 Au 0.0000 0.9650 0.8940
18 Au 0.5000 0.0350 0.6060
19 Au 0.5000 0.3525 0.8371
20 Au 0.5000 0.5139 0.0000
21 Au 0.0000 0.4861 0.5000
22 Au 0.0000 0.6475 0.6629
23 Au 0.0000 0.6475 0.3371
24 Au 0.5000 0.9822 0.0000
25 Au 0.0000 0.9650 0.1060
26 Au 0.5000 0.3525 0.1629
27 Au 0.0000 0.0178 0.5000
28 Au 0.5000 0.0350 0.3940


(15)
First-principles (GGA-PBE) data for a geometry-optimized K2Hg4Au structure, as listed in Alexandria.

Offset from the most stable computed form   82.0 meV/atom
Calculated formation energy   -1.1 eV per formula unit

a = 5.4234 Å, b = 5.4234 Å, c = 9.6525 Å
α = 106.32°, β = 106.32°, γ = 90.00°
Sites, in units of the cell vectors:
1 K 0.6390 0.6390 0.2779
2 K 0.3610 0.3610 0.7221
3 Au 0.0000 0.0000 0.0000
4 Hg 0.8342 0.8342 0.6684
5 Hg 0.1658 0.1658 0.3316
6 Hg 0.0000 0.5000 0.0000
7 Hg 0.5000 0.0000 0.0000


(16)
First-principles (GGA-PBE) data for a geometry-optimized K7HgAu2 structure, as listed in Alexandria.

Calculated formation energy   -1.6 eV per formula unit

a = 5.7688 Å, b = 5.7688 Å, c = 16.8306 Å
α = 80.13°, β = 80.13°, γ = 60.00°
Sites, in units of the cell vectors:
1 K 0.7158 0.7158 0.8526
2 K 0.5754 0.5754 0.2740
3 K 0.0000 0.0000 0.0000
4 K 0.2842 0.2842 0.1474
5 K 0.1388 0.1388 0.5836
6 K 0.8612 0.8612 0.4164
7 K 0.4246 0.4246 0.7260
8 Hg 0.5000 0.5000 0.5000
9 Au 0.0689 0.0689 0.7932
10 Au 0.9311 0.9311 0.2068


(17)
First-principles (GGA-PBE) data for a geometry-optimized K2HgAu structure, as listed in Alexandria.

Calculated formation energy   -0.6 eV per formula unit

a = 4.2465 Å, b = 5.4639 Å, c = 6.8441 Å
α = 90.00°, β = 90.00°, γ = 90.00°
Sites, in units of the cell vectors:
1 Au 0.0000 0.0000 0.3759
2 Hg 0.5000 0.5000 0.8742
3 K 0.0000 0.0000 0.8757
4 K 0.5000 0.5000 0.3742


(18)
First-principles (GGA-PBE) data for a geometry-optimized K4Hg3Au5 structure, as listed in Alexandria.

Calculated formation energy   -2.7 eV per formula unit

a = 5.2208 Å, b = 8.2565 Å, c = 11.2210 Å
α = 116.06°, β = 90.00°, γ = 108.43°
Sites, in units of the cell vectors:
1 K 0.0429 0.0858 0.8503
2 K 0.7397 0.4794 0.7351
3 K 0.2603 0.5206 0.2649
4 K 0.9571 0.9142 0.1497
5 Hg 0.6313 0.2626 0.3843
6 Hg 0.0000 0.0000 0.5000
7 Hg 0.3687 0.7374 0.6157
8 Au 0.4099 0.8198 0.8899
9 Au 0.5000 0.0000 0.5000
10 Au 0.7250 0.4500 0.0174
11 Au 0.2750 0.5500 0.9826
12 Au 0.5901 0.1802 0.1101


(19)
First-principles (GGA-PBE) data for a geometry-optimized KHg5Au structure, as listed in Alexandria.

Calculated formation energy   -0.9 eV per formula unit

a = 5.1007 Å, b = 5.1007 Å, c = 7.8064 Å
α = 90.00°, β = 90.00°, γ = 90.00°
Sites, in units of the cell vectors:
1 K 0.0000 0.0000 0.0000
2 Hg 0.5000 0.0000 0.7010
3 Hg 0.0000 0.5000 0.7010
4 Hg 0.5000 0.5000 0.0000
5 Hg 0.0000 0.5000 0.2990
6 Hg 0.5000 0.0000 0.2990
7 Au 0.0000 0.0000 0.5000


(20)
First-principles (GGA-PBE) data for a geometry-optimized KHg6Au structure, as listed in Alexandria.

Calculated formation energy   -0.8 eV per formula unit

a = 6.4642 Å, b = 6.4642 Å, c = 7.6338 Å
α = 109.65°, β = 109.65°, γ = 114.71°
Sites, in units of the cell vectors:
1 K 0.0000 0.0000 0.0000
2 Hg 0.2805 0.2805 0.7296
3 Hg 0.6997 0.2121 0.2664
4 Hg 0.7195 0.7195 0.2704
5 Hg 0.7879 0.3003 0.7336
6 Hg 0.3003 0.7879 0.7336
7 Hg 0.2121 0.6997 0.2664
8 Au 0.5000 0.5000 0.5000